This record from the Alexandria database describes a relaxed structure of Mo3Ru. The functional is PBE.

- Uncorrected energy: -40.84 eV/cell
- Calculated formation energy: 22.45 kJ/mol of atoms
- Crystal system: hexagonal

Unit cell a=2.7822 b=2.7822 c=9.2506 alpha=90.00 beta=90.00 gamma=120.00
Last column: nearest neighbours and their distance in Å.
Positions (direct):
Mo  0.0000  0.0000  0.9879  3 Ru 2.72, 9 Mo 2.78-2.91
Mo  0.0000  0.0000  0.5121  3 Ru 2.72, 9 Mo 2.78-2.91
Mo  0.3333  0.6667  0.2500  12 Mo 2.78-2.91
Ru  0.3333  0.6667  0.7500  6 Mo 2.72, 6 Ru 2.78

This record from the Alexandria database describes a relaxed structure of TlCoTe2. The functional is PBE.

- Uncorrected energy: -15.16 eV/cell
- Crystal system: orthorhombic
- Formation energy (no corrections): 0.60 eV per formula unit

Unit cell a=3.3460 b=3.3460 c=9.3217 alpha=90.00 beta=90.00 gamma=104.97
Last column: nearest neighbours and their distance in Å.
Positions (direct):
Co  0.5000  0.5000  0.7500  4 Te 2.60
Te  0.0000  0.0000  0.9237  2 Co 2.60
Te  0.0000  0.0000  0.5763  2 Co 2.60
Tl  0.5000  0.5000  0.2500  4 Tl 3.35, 4 Te 3.66

This record from the Alexandria database describes a relaxed structure of La5NdEr2. The functional is PBE.

- Offset from the most stable computed form: 0.0 meV/atom
- Uncorrected energy: -76.91 eV/cell
- Calculated formation energy: 0.92 kJ/mol of atoms
- Crystal system: orthorhombic

Unit cell a=5.1982 b=7.3318 c=14.6615 alpha=90.00 beta=90.00 gamma=90.00
Last column: nearest neighbours and their distance in Å.
Positions (direct):
La  0.0000  0.0000  0.0000  4 Er 3.66, 2 Nd 3.67, 6 La 3.67-3.68
La  0.0000  0.5000  0.5000  4 Er 3.66, 2 Nd 3.67, 6 La 3.67-3.68
La  0.0000  0.5026  0.7508  1 Nd 3.65, 4 Er 3.66-3.68, 7 La 3.67-3.68
La  0.0000  0.4974  0.2492  1 Nd 3.65, 4 Er 3.66-3.68, 7 La 3.67-3.68
La  0.0000  0.9974  0.2508  1 Nd 3.65, 4 Er 3.66-3.68, 7 La 3.67-3.68
La  0.0000  0.0026  0.7492  1 Nd 3.65, 4 Er 3.66-3.68, 7 La 3.67-3.68
La  0.5000  0.2513  0.8756  4 Er 3.65-3.68, 2 Nd 3.66, 6 La 3.67-3.68
La  0.5000  0.7487  0.1244  4 Er 3.65-3.68, 2 Nd 3.66, 6 La 3.67-3.68
La  0.5000  0.2487  0.3756  4 Er 3.65-3.68, 2 Nd 3.66, 6 La 3.67-3.68
La  0.5000  0.7513  0.6244  4 Er 3.65-3.68, 2 Nd 3.66, 6 La 3.67-3.68
Nd  0.0000  0.0000  0.5000  8 La 3.65-3.67, 4 Er 3.67
Nd  0.0000  0.5000  0.0000  8 La 3.65-3.67, 4 Er 3.67
Er  0.5000  0.2514  0.6245  10 La 3.65-3.68, 2 Nd 3.67
Er  0.5000  0.7486  0.3755  10 La 3.65-3.68, 2 Nd 3.67
Er  0.5000  0.2486  0.1245  10 La 3.65-3.68, 2 Nd 3.67
Er  0.5000  0.7514  0.8755  10 La 3.65-3.68, 2 Nd 3.67